A plane-wave DFT calculation with PBE-GGA was carried out for a relaxed structure of LiMnPbSe3.

Unit cell a=3.803 b=7.247 c=10.915 alpha=108.53 beta=90.00 gamma=90.00
Positions (direct):
Li 0.250 0.114 0.614
Li 0.750 0.886 0.386
Mn 0.250 0.687 0.122
Mn 0.750 0.313 0.878
Pb 0.250 0.306 0.325
Pb 0.750 0.694 0.675
Se 0.750 0.925 0.161
Se 0.250 0.075 0.839
Se 0.250 0.731 0.475
Se 0.750 0.269 0.525
Se 0.750 0.455 0.131
Se 0.250 0.545 0.869

Values from the calculation:
- Raw formation energy: -616 meV/atom
- Symmetry: P2_1/m (11)
- M_tot: 4.00 μB per formula unit
- DFT total energy: -57.88 eV for the cell shown